(1)
This record from OQMD describes a geometry-optimized Lu2MgSi structure. The functional is PBE.

Cell lengths 5.0412, 5.0412, 5.0412 Å; angles 60.00, 60.00, 60.00 degrees
Positions (direct):
Lu (0.0000, 0.0000, 0.0000)
Lu (0.7500, 0.7500, 0.7500)
Si (0.5000, 0.5000, 0.5000)
Mg (0.2500, 0.2500, 0.2500)

Results
crystal system = cubic
space group = F-43m (216)
total DFT energy (no corrections) = -3.85 eV/atom

(2)
This record from OQMD describes a geometry-optimized NdEr2Mg3Tl2Cd structure. The functional is PBE.

Cell lengths 4.6470, 7.6042, 7.6042 Å; angles 120.86, 90.00, 90.00 degrees
Positions (direct):
Mg (0.5000, 0.2387, 0.9995)
Mg (0.5000, 0.7599, 0.7599)
Mg (0.5000, 0.9995, 0.2387)
Tl (0.5000, 0.3320, 0.6726)
Tl (0.5000, 0.6726, 0.3320)
Cd (0.0000, 0.9916, 0.9916)
Er (0.0000, 0.0019, 0.5764)
Er (0.0000, 0.5764, 0.0019)
Nd (0.0000, 0.4274, 0.4274)

Results
crystal system = orthorhombic
space group = Amm2 (38)
total DFT energy (no corrections) = -3.00 eV/atom

(3)
This record from OQMD describes a geometry-optimized W2Se structure. The functional is PBE.

Cell lengths 5.3631, 5.3631, 5.3631 Å; angles 60.00, 60.00, 60.00 degrees
Positions (direct):
W (0.1250, 0.6250, 0.6250)
W (0.6250, 0.6250, 0.1250)
W (0.6250, 0.6250, 0.6250)
W (0.6250, 0.1250, 0.6250)
Se (0.0000, 0.0000, 0.0000)
Se (0.2500, 0.2500, 0.2500)

Results
energy above the most stable polymorph in this dataset = 0.000 eV/atom
crystal system = cubic
space group = Fd-3m (227)
total DFT energy (no corrections) = -8.74 eV/atom

(4)
This record from OQMD describes a geometry-optimized LiFeBiPb structure. The functional is PBE.

Cell lengths 4.9290, 4.9290, 4.9290 Å; angles 60.00, 60.00, 60.00 degrees
Positions (direct):
Li (0.7500, 0.7500, 0.7500)
Bi (0.0000, 0.0000, 0.0000)
Pb (0.5000, 0.5000, 0.5000)
Fe (0.2500, 0.2500, 0.2500)

Results
energy above the most stable polymorph in this dataset = 0.000 eV/atom
crystal system = cubic
space group = F-43m (216)
total DFT energy (no corrections) = -4.31 eV/atom

(5)
This record from OQMD describes a geometry-optimized NdDyFe2Si2 structure. The functional is PBE.

Cell lengths 4.0472, 4.0472, 6.6765 Å; angles 90.00, 90.00, 90.00 degrees
Positions (direct):
Si (0.5000, 0.5000, 0.1755)
Si (0.0000, 0.0000, 0.8319)
Fe (0.0000, 0.5000, 0.0056)
Fe (0.5000, 0.0000, 0.0056)
Dy (0.0000, 0.0000, 0.3082)
Nd (0.5000, 0.5000, 0.6732)

Results
crystal system = tetragonal
space group = P4mm (99)
total DFT energy (no corrections) = -6.74 eV/atom

(6)
This record from OQMD describes a geometry-optimized TlAu7 structure. The functional is PBE.

Cell lengths 2.9058, 3.9591, 35.0621 Å; angles 90.00, 90.00, 90.00 degrees
Positions (direct):
Au (0.0000, 0.0000, 0.6107)
Au (0.5000, 0.5000, 0.7442)
Au (0.5000, 0.5000, 0.4778)
Au (0.0000, 0.0000, 0.2558)
Au (0.0000, 0.0000, 0.3447)
Au (0.5000, 0.5000, 0.5666)
Au (0.5000, 0.5000, 0.3006)
Au (0.0000, 0.0000, 0.4334)
Au (0.5000, 0.5000, 0.6553)
Au (0.0000, 0.0000, 0.7891)
Au (0.5000, 0.5000, 0.2109)
Au (0.5000, 0.5000, 0.3893)
Au (0.0000, 0.0000, 0.6994)
Au (0.0000, 0.0000, 0.5223)
Tl (0.5000, 0.5000, 0.8460)
Tl (0.0000, 0.0000, 0.1540)

Results
energy above the most stable polymorph in this dataset = 0.000 eV/atom
crystal system = orthorhombic
space group = Pmmn (59)
total DFT energy (no corrections) = -3.12 eV/atom

(7)
This record from OQMD describes a geometry-optimized TbGdHg structure. The functional is PBE.

Cell lengths 5.1194, 5.1194, 5.1194 Å; angles 60.00, 60.00, 60.00 degrees
Positions (direct):
Gd (0.2500, 0.2500, 0.2500)
Tb (0.7500, 0.7500, 0.7500)
Hg (0.0000, 0.0000, 0.0000)

Results
crystal system = cubic
space group = F-43m (216)
total DFT energy (no corrections) = -3.30 eV/atom

(8)
This record from OQMD describes a geometry-optimized BeBIrPb structure. The functional is PBE.

Cell lengths 4.3640, 4.3640, 4.3640 Å; angles 60.00, 60.00, 60.00 degrees
Positions (direct):
Ir (0.2500, 0.2500, 0.2500)
Be (0.7500, 0.7500, 0.7500)
B (0.0000, 0.0000, 0.0000)
Pb (0.5000, 0.5000, 0.5000)

Results
energy above the most stable polymorph in this dataset = 0.210 eV/atom
crystal system = cubic
space group = F-43m (216)
total DFT energy (no corrections) = -4.53 eV/atom